CoTeO4 | PBE with a Hubbard U | relaxed

E above lowest polymorph   0 meV/atom
Magnetization   6.0 μB/cell
D(E_F)   0.00 states/eV/atom

Lattice parameters (Å, degrees): 5.654 4.739 5.643 90.00 112.90 90.00
Fractional coordinates of all 12 atoms:
Co: 0.000 0.000 0.000
Co: 0.000 0.500 0.500
Te: 0.500 0.000 0.500
Te: 0.500 0.500 0.000
O: 0.173 0.180 0.362
O: 0.173 0.320 0.862
O: 0.352 0.718 0.671
O: 0.352 0.782 0.171
O: 0.648 0.218 0.829
O: 0.648 0.282 0.329
O: 0.827 0.680 0.138
O: 0.827 0.820 0.638